1.
# TmPuCu GGA-PBE relaxed
data_TmPuCu
_cell_length_a 3.407
_cell_length_b 3.407
_cell_length_c 12.125
_cell_angle_alpha 90.00
_cell_angle_beta 90.00
_cell_angle_gamma 90.00
_space_group_name_H-M_alt 'P 1'
_space_group_IT_number 1
loop_
_space_group_symop_operation_xyz
'x,y,z'
loop_
_atom_site_label
_atom_site_fract_x
_atom_site_fract_y
_atom_site_fract_z
Tm1 0.000 0.000 0.000
Tm2 0.500 0.500 0.500
Pu1 0.000 0.000 0.715
Pu2 0.500 0.500 0.215
Cu1 0.000 0.000 0.370
Cu2 0.500 0.500 0.870
# Relative energy among the computed polymorphs   38.7 meV/atom
# Energy of formation   0.011 eV/atom
# Uncorrected energy   -7.6224 eV per atom



2.
# MgNiPS4 GGA-PBE relaxed
data_MgNiPS4
_cell_length_a 7.137
_cell_length_b 7.137
_cell_length_c 7.137
_cell_angle_alpha 122.64
_cell_angle_beta 116.27
_cell_angle_gamma 91.03
_space_group_name_H-M_alt 'P 1'
_space_group_IT_number 1
loop_
_space_group_symop_operation_xyz
'x,y,z'
loop_
_atom_site_label
_atom_site_fract_x
_atom_site_fract_y
_atom_site_fract_z
Mg1 0.000 0.000 0.000
Mg2 0.500 0.000 0.500
Ni1 0.500 0.000 0.000
Ni2 0.500 0.500 0.500
P1 0.101 0.351 0.750
P2 0.899 0.649 0.250
S1 0.234 0.247 0.513
S2 0.234 0.721 0.987
S3 0.303 0.245 0.058
S4 0.313 0.755 0.558
S5 0.687 0.245 0.442
S6 0.697 0.755 0.942
S7 0.766 0.279 0.013
S8 0.766 0.753 0.487
# Formation energy without anion corrections   -0.424 eV/atom
# Uncorrected energy   -4.6095 eV per atom



3.
# HgN2OF GGA-PBE relaxed
data_HgN2OF
_cell_length_a 4.424
_cell_length_b 4.424
_cell_length_c 4.677
_cell_angle_alpha 90.00
_cell_angle_beta 90.00
_cell_angle_gamma 90.00
_space_group_name_H-M_alt 'P 1'
_space_group_IT_number 1
loop_
_space_group_symop_operation_xyz
'x,y,z'
loop_
_atom_site_label
_atom_site_fract_x
_atom_site_fract_y
_atom_site_fract_z
Hg1 0.000 0.000 0.000
N1 0.000 0.500 0.000
N2 0.500 0.000 0.000
O1 0.500 0.500 0.500
F1 0.000 0.000 0.500
# Formation energy without anion corrections   1.960 eV/atom
# Uncorrected energy   -2.7959 eV per atom



4.
# Nd12Rh5Pb GGA-PBE relaxed
data_Nd12Rh5Pb
_cell_length_a 8.735
_cell_length_b 8.735
_cell_length_c 8.735
_cell_angle_alpha 112.32
_cell_angle_beta 110.73
_cell_angle_gamma 105.44
_space_group_name_H-M_alt 'P 1'
_space_group_IT_number 1
loop_
_space_group_symop_operation_xyz
'x,y,z'
loop_
_atom_site_label
_atom_site_fract_x
_atom_site_fract_y
_atom_site_fract_z
Nd1 0.028 0.215 0.812
Nd2 0.179 0.293 0.472
Nd3 0.179 0.707 0.886
Nd4 0.326 0.017 0.692
Nd5 0.326 0.634 0.308
Nd6 0.403 0.215 0.188
Nd7 0.597 0.785 0.812
Nd8 0.674 0.366 0.692
Nd9 0.674 0.983 0.308
Nd10 0.821 0.293 0.114
Nd11 0.821 0.707 0.528
Nd12 0.972 0.785 0.188
Rh1 0.000 0.000 0.000
Rh2 0.131 0.631 0.500
Rh3 0.347 0.000 0.347
Rh4 0.653 0.000 0.653
Rh5 0.869 0.369 0.500
Pb1 0.500 0.500 0.000
# Energy of formation   -0.515 eV/atom
# Uncorrected energy   -5.9418 eV per atom



5.
# CaHoMgPb GGA-PBE relaxed
data_CaHoMgPb
_cell_length_a 7.679
_cell_length_b 7.679
_cell_length_c 7.679
_cell_angle_alpha 90.00
_cell_angle_beta 90.00
_cell_angle_gamma 90.00
_space_group_name_H-M_alt 'P 1'
_space_group_IT_number 1
loop_
_space_group_symop_operation_xyz
'x,y,z'
loop_
_atom_site_label
_atom_site_fract_x
_atom_site_fract_y
_atom_site_fract_z
Ca1 0.000 0.000 0.000
Ca2 0.000 0.500 0.500
Ca3 0.500 0.000 0.500
Ca4 0.500 0.500 0.000
Ho1 0.000 0.000 0.500
Ho2 0.000 0.500 0.000
Ho3 0.500 0.000 0.000
Ho4 0.500 0.500 0.500
Mg1 0.250 0.250 0.250
Mg2 0.250 0.750 0.750
Mg3 0.750 0.250 0.750
Mg4 0.750 0.750 0.250
Pb1 0.250 0.250 0.750
Pb2 0.250 0.750 0.250
Pb3 0.750 0.250 0.250
Pb4 0.750 0.750 0.750
# Energy of formation   -0.271 eV/atom
# Uncorrected energy   -3.2415 eV per atom



6.
# UPa2Pd GGA-PBE relaxed
data_UPa2Pd
_cell_length_a 6.996
_cell_length_b 6.996
_cell_length_c 6.996
_cell_angle_alpha 90.00
_cell_angle_beta 90.00
_cell_angle_gamma 90.00
_space_group_name_H-M_alt 'P 1'
_space_group_IT_number 1
loop_
_space_group_symop_operation_xyz
'x,y,z'
loop_
_atom_site_label
_atom_site_fract_x
_atom_site_fract_y
_atom_site_fract_z
U1 0.000 0.000 0.000
U2 0.000 0.500 0.500
U3 0.500 0.000 0.500
U4 0.500 0.500 0.000
Pa1 0.250 0.250 0.250
Pa2 0.250 0.250 0.750
Pa3 0.250 0.750 0.250
Pa4 0.250 0.750 0.750
Pa5 0.750 0.250 0.250
Pa6 0.750 0.250 0.750
Pa7 0.750 0.750 0.250
Pa8 0.750 0.750 0.750
Pd1 0.000 0.000 0.500
Pd2 0.000 0.500 0.000
Pd3 0.500 0.000 0.000
Pd4 0.500 0.500 0.500
# Relative energy among the computed polymorphs   196.4 meV/atom
# Energy of formation   -0.052 eV/atom
# Uncorrected energy   -8.9197 eV per atom



7.
# NbAsS3 GGA-PBE relaxed
data_NbAsS3
_cell_length_a 4.647
_cell_length_b 4.647
_cell_length_c 4.647
_cell_angle_alpha 90.00
_cell_angle_beta 90.00
_cell_angle_gamma 90.00
_space_group_name_H-M_alt 'P 1'
_space_group_IT_number 1
loop_
_space_group_symop_operation_xyz
'x,y,z'
loop_
_atom_site_label
_atom_site_fract_x
_atom_site_fract_y
_atom_site_fract_z
Nb1 0.000 0.000 0.000
As1 0.500 0.500 0.500
S1 0.000 0.500 0.500
S2 0.500 0.000 0.500
S3 0.500 0.500 0.000
# Formation energy without anion corrections   0.618 eV/atom
# Relative energy among the computed polymorphs   1127.0 meV/atom
# Uncorrected energy   -4.8021 eV per atom



8.
# Pr4CN2 GGA-PBE relaxed
data_Pr4CN2
_cell_length_a 7.546
_cell_length_b 7.546
_cell_length_c 10.711
_cell_angle_alpha 90.00
_cell_angle_beta 90.00
_cell_angle_gamma 90.00
_space_group_name_H-M_alt 'P 1'
_space_group_IT_number 1
loop_
_space_group_symop_operation_xyz
'x,y,z'
loop_
_atom_site_label
_atom_site_fract_x
_atom_site_fract_y
_atom_site_fract_z
Pr1 0.008 0.245 0.259
Pr2 0.008 0.755 0.241
Pr3 0.245 0.008 0.491
Pr4 0.245 0.992 0.009
Pr5 0.246 0.482 0.495
Pr6 0.246 0.518 0.005
Pr7 0.482 0.246 0.255
Pr8 0.482 0.754 0.245
Pr9 0.518 0.246 0.745
Pr10 0.518 0.754 0.755
Pr11 0.754 0.482 0.505
Pr12 0.754 0.518 0.995
Pr13 0.755 0.008 0.509
Pr14 0.755 0.992 0.991
Pr15 0.992 0.245 0.741
Pr16 0.992 0.755 0.759
C1 0.241 0.500 0.250
C2 0.500 0.241 0.500
C3 0.500 0.759 0.000
C4 0.759 0.500 0.750
N1 0.000 0.243 0.500
N2 0.000 0.757 0.000
N3 0.243 0.000 0.250
N4 0.252 0.252 0.875
N5 0.252 0.748 0.625
N6 0.748 0.252 0.125
N7 0.748 0.748 0.375
N8 0.757 0.000 0.750
# Formation energy without anion corrections   -0.672 eV/atom
# Uncorrected energy   -7.0993 eV per atom



9.
# LiTlZnGe GGA-PBE relaxed
data_LiTlZnGe
_cell_length_a 4.566
_cell_length_b 3.430
_cell_length_c 10.684
_cell_angle_alpha 90.00
_cell_angle_beta 90.00
_cell_angle_gamma 90.00
_space_group_name_H-M_alt 'P 1'
_space_group_IT_number 1
loop_
_space_group_symop_operation_xyz
'x,y,z'
loop_
_atom_site_label
_atom_site_fract_x
_atom_site_fract_y
_atom_site_fract_z
Li1 0.000 0.000 0.000
Li2 0.000 0.500 0.500
Tl1 0.500 0.000 0.344
Tl2 0.500 0.500 0.844
Zn1 0.500 0.000 0.603
Zn2 0.500 0.500 0.103
Ge1 0.000 0.000 0.717
Ge2 0.000 0.500 0.217
# Relative energy among the computed polymorphs   83.0 meV/atom
# Energy of formation   0.008 eV/atom
# Uncorrected energy   -2.5344 eV per atom



10.
# LiNbTlI6 GGA-PBE relaxed
data_LiNbTlI6
_cell_length_a 7.572
_cell_length_b 7.572
_cell_length_c 14.860
_cell_angle_alpha 90.00
_cell_angle_beta 90.00
_cell_angle_gamma 120.00
_space_group_name_H-M_alt 'P 1'
_space_group_IT_number 1
loop_
_space_group_symop_operation_xyz
'x,y,z'
loop_
_atom_site_label
_atom_site_fract_x
_atom_site_fract_y
_atom_site_fract_z
Li1 0.333 0.667 0.250
Li2 0.667 0.333 0.750
Nb1 0.333 0.667 0.750
Nb2 0.667 0.333 0.250
Tl1 0.000 0.000 0.000
Tl2 0.000 0.000 0.500
I1 0.016 0.379 0.640
I2 0.016 0.637 0.860
I3 0.363 0.379 0.860
I4 0.363 0.984 0.640
I5 0.379 0.016 0.140
I6 0.379 0.363 0.360
I7 0.621 0.637 0.640
I8 0.621 0.984 0.860
I9 0.637 0.016 0.360
I10 0.637 0.621 0.140
I11 0.984 0.363 0.140
I12 0.984 0.621 0.360
# Formation energy without anion corrections   -0.622 eV/atom
# Uncorrected energy   -3.2498 eV per atom



11.
# PmYHo2Th GGA-PBE relaxed
data_PmYHo2Th
_cell_length_a 8.530
_cell_length_b 6.425
_cell_length_c 6.320
_cell_angle_alpha 90.00
_cell_angle_beta 98.76
_cell_angle_gamma 90.00
_space_group_name_H-M_alt 'P 1'
_space_group_IT_number 1
loop_
_space_group_symop_operation_xyz
'x,y,z'
loop_
_atom_site_label
_atom_site_fract_x
_atom_site_fract_y
_atom_site_fract_z
Pm1 0.000 0.000 0.000
Pm2 0.000 0.000 0.500
Y1 0.500 0.176 0.250
Y2 0.500 0.824 0.750
Ho1 0.314 0.313 0.704
Ho2 0.314 0.687 0.204
Ho3 0.686 0.313 0.796
Ho4 0.686 0.687 0.296
Th1 0.000 0.448 0.250
Th2 0.000 0.552 0.750
# Energy of formation   0.324 eV/atom
# Uncorrected energy   -5.2341 eV per atom



12.
# MgCdPt4 GGA-PBE relaxed
data_MgCdPt4
_cell_length_a 5.334
_cell_length_b 5.334
_cell_length_c 5.334
_cell_angle_alpha 60.00
_cell_angle_beta 60.00
_cell_angle_gamma 60.00
_space_group_name_H-M_alt 'P 1'
_space_group_IT_number 1
loop_
_space_group_symop_operation_xyz
'x,y,z'
loop_
_atom_site_label
_atom_site_fract_x
_atom_site_fract_y
_atom_site_fract_z
Mg1 0.000 0.000 0.000
Cd1 0.250 0.250 0.250
Pt1 0.125 0.625 0.625
Pt2 0.625 0.125 0.625
Pt3 0.625 0.625 0.125
Pt4 0.625 0.625 0.625
# Energy of formation   -0.364 eV/atom
# Uncorrected energy   -4.8096 eV per atom



13.
# K3In2Sb3 GGA-PBE relaxed
data_K3In2Sb3
_cell_length_a 7.738
_cell_length_b 7.738
_cell_length_c 16.460
_cell_angle_alpha 90.00
_cell_angle_beta 90.00
_cell_angle_gamma 143.97
_space_group_name_H-M_alt 'P 1'
_space_group_IT_number 1
loop_
_space_group_symop_operation_xyz
'x,y,z'
loop_
_atom_site_label
_atom_site_fract_x
_atom_site_fract_y
_atom_site_fract_z
K1 0.058 0.942 0.613
K2 0.058 0.942 0.887
K3 0.334 0.666 0.750
K4 0.666 0.334 0.250
K5 0.942 0.058 0.113
K6 0.942 0.058 0.387
In1 0.243 0.757 0.094
In2 0.243 0.757 0.406
In3 0.757 0.243 0.594
In4 0.757 0.243 0.906
Sb1 0.344 0.656 0.250
Sb2 0.368 0.632 0.548
Sb3 0.368 0.632 0.952
Sb4 0.632 0.368 0.048
Sb5 0.632 0.368 0.452
Sb6 0.656 0.344 0.750
# Formation energy without anion corrections   -0.369 eV/atom
# Uncorrected energy   -3.0110 eV per atom



14.
# Er4Hg2C GGA-PBE relaxed
data_Er4Hg2C
_cell_length_a 4.846
_cell_length_b 4.846
_cell_length_c 14.729
_cell_angle_alpha 90.00
_cell_angle_beta 90.00
_cell_angle_gamma 90.00
_space_group_name_H-M_alt 'P 1'
_space_group_IT_number 1
loop_
_space_group_symop_operation_xyz
'x,y,z'
loop_
_atom_site_label
_atom_site_fract_x
_atom_site_fract_y
_atom_site_fract_z
Er1 0.000 0.000 0.166
Er2 0.000 0.000 0.834
Er3 0.000 0.500 0.000
Er4 0.000 0.500 0.500
Er5 0.500 0.000 0.000
Er6 0.500 0.000 0.500
Er7 0.500 0.500 0.334
Er8 0.500 0.500 0.666
Hg1 0.000 0.000 0.368
Hg2 0.000 0.000 0.632
Hg3 0.500 0.500 0.132
Hg4 0.500 0.500 0.868
C1 0.000 0.000 0.000
C2 0.500 0.500 0.500
# Relative energy among the computed polymorphs   0.0 meV/atom
# Energy of formation   -0.361 eV/atom
# Uncorrected energy   -4.3719 eV per atom



no.,calculated volume (Å³/atom),M_tot (μB/atom)
1,23.45,2.0677
2,18.44,0.0173
3,18.31,0.4718
4,28.40,0.0000
5,28.30,0.0000
6,21.40,0.6590
7,20.06,0.4059
8,21.78,0.0000
9,20.92,0.0000
10,40.99,0.1112
11,34.24,0.0000
12,17.88,0.0000
13,36.23,0.0000
14,24.71,0.0000